Crystalline GaPt14Rh at its relaxed geometry. Source: the Alexandria database, functional PBE.

abc: 5.5753 5.5753 9.2490
angles: 90.00 90.00 120.04
Closest atoms and distances in Å follow each position.
Positions (direct):
Ga (0.5432, 0.4568, 0.5000)  10 Pt 2.76-2.80, 2 Rh 2.79
Pt (0.2061, 0.7939, 0.0000)  12 Pt 2.78-2.87
Pt (0.7064, 0.2936, 0.0000)  12 Pt 2.78-2.86
Pt (0.0440, 0.4541, 0.5000)  2 Rh 2.76-2.82, 8 Pt 2.78-2.80, 2 Ga 2.78-2.80
Pt (0.2079, 0.2939, 0.0000)  12 Pt 2.78-2.87
Pt (0.5459, 0.9560, 0.5000)  2 Rh 2.76-2.82, 8 Pt 2.78-2.80, 2 Ga 2.78-2.80
Pt (0.7061, 0.7921, 0.0000)  12 Pt 2.78-2.87
Pt (0.3749, 0.1269, 0.7434)  1 Ga 2.76, 1 Rh 2.77, 10 Pt 2.77-2.87
Pt (0.3749, 0.1269, 0.2566)  1 Ga 2.76, 1 Rh 2.77, 10 Pt 2.77-2.87
Pt (0.8731, 0.6251, 0.7434)  1 Ga 2.76, 1 Rh 2.77, 10 Pt 2.77-2.87
Pt (0.8731, 0.6251, 0.2566)  1 Ga 2.76, 1 Rh 2.77, 10 Pt 2.77-2.87
Pt (0.3755, 0.6245, 0.7464)  11 Pt 2.77-2.86, 1 Ga 2.80
Pt (0.3755, 0.6245, 0.2536)  11 Pt 2.77-2.86, 1 Ga 2.80
Pt (0.8757, 0.1243, 0.7489)  11 Pt 2.78-2.84, 1 Rh 2.81
Pt (0.8757, 0.1243, 0.2511)  11 Pt 2.78-2.84, 1 Rh 2.81
Rh (0.0420, 0.9580, 0.5000)  10 Pt 2.76-2.82, 2 Ga 2.79

Output
The formation energy from the elements is -0.087 eV per atom. Its density of states at the Fermi level is 1.77 states/eV per atom. The volume comes out at 15.55 A^3/atom.

=====

Crystalline GaPt6Rh2 at its relaxed geometry. Source: the Alexandria database, functional PBE.

abc: 3.9426 8.3187 8.3184
angles: 90.00 90.00 90.00
Closest atoms and distances in Å follow each position.
Positions (direct):
Ga (0.5000, 0.5000, 0.0000)  8 Pt 2.73-2.76, 4 Rh 2.74
Ga (0.0000, 0.0000, 0.5000)  8 Pt 2.73-2.76, 4 Rh 2.74
Pt (0.0000, 0.9980, 0.1719)  1 Ga 2.73, 8 Pt 2.75-2.86, 3 Rh 2.77-2.80
Pt (0.0000, 0.6719, 0.4980)  1 Ga 2.73, 8 Pt 2.75-2.86, 3 Rh 2.77-2.80
Pt (0.0000, 0.6646, 0.8354)  4 Rh 2.72-2.84, 6 Pt 2.75-2.81, 2 Ga 2.76
Pt (0.5000, 0.1646, 0.6646)  4 Rh 2.72-2.84, 6 Pt 2.75-2.81, 2 Ga 2.76
Pt (0.5000, 0.1719, 0.0020)  1 Ga 2.73, 8 Pt 2.75-2.86, 3 Rh 2.77-2.80
Pt (0.5000, 0.4980, 0.3281)  1 Ga 2.73, 8 Pt 2.75-2.86, 3 Rh 2.77-2.80
Pt (0.0000, 0.0020, 0.8281)  1 Ga 2.73, 8 Pt 2.75-2.86, 3 Rh 2.77-2.80
Pt (0.0000, 0.3281, 0.5020)  1 Ga 2.73, 8 Pt 2.75-2.86, 3 Rh 2.77-2.80
Pt (0.0000, 0.3354, 0.1646)  4 Rh 2.72-2.84, 6 Pt 2.75-2.81, 2 Ga 2.76
Pt (0.5000, 0.8354, 0.3354)  4 Rh 2.72-2.84, 6 Pt 2.75-2.81, 2 Ga 2.76
Pt (0.5000, 0.8281, 0.9980)  1 Ga 2.73, 8 Pt 2.75-2.86, 3 Rh 2.77-2.80
Pt (0.5000, 0.5020, 0.6719)  1 Ga 2.73, 8 Pt 2.75-2.86, 3 Rh 2.77-2.80
Rh (0.0000, 0.3379, 0.8379)  10 Pt 2.72-2.84, 2 Ga 2.74
Rh (0.5000, 0.8379, 0.6621)  10 Pt 2.72-2.84, 2 Ga 2.74
Rh (0.5000, 0.1621, 0.3379)  10 Pt 2.72-2.84, 2 Ga 2.74
Rh (0.0000, 0.6621, 0.1621)  10 Pt 2.72-2.84, 2 Ga 2.74

Output
The formation energy from the elements is -0.203 eV per atom. Its density of states at the Fermi level is 0.97 states/eV per atom. The volume comes out at 15.16 A^3/atom.

=====

Crystalline Ga5PtRh at its relaxed geometry. Source: the Alexandria database, functional PBE.

abc: 6.5525 6.5525 8.8464
angles: 69.63 69.63 71.90
Closest atoms and distances in Å follow each position.
Positions (direct):
Ga (0.7641, 0.7312, 0.1275)  1 Rh 2.38, 1 Pt 2.42
Ga (0.3213, 0.6738, 0.4606)  1 Rh 2.48, 1 Pt 2.52
Ga (0.7312, 0.7641, 0.6275)  1 Rh 2.38, 1 Pt 2.42
Ga (0.8595, 0.1405, 0.2500)  2 Pt 2.46, 1 Rh 2.48
Ga (0.3262, 0.6787, 0.0394)  1 Rh 2.48, 1 Pt 2.52
Ga (0.6738, 0.3213, 0.9606)  1 Rh 2.48, 1 Pt 2.52
Ga (0.1405, 0.8595, 0.7500)  2 Pt 2.46, 1 Rh 2.48
Ga (0.2688, 0.2359, 0.3725)  1 Rh 2.38, 1 Pt 2.42
Ga (0.6787, 0.3262, 0.5394)  1 Rh 2.48, 1 Pt 2.52
Ga (0.2359, 0.2688, 0.8725)  1 Rh 2.38, 1 Pt 2.42
Pt (0.0000, 0.0000, 0.0000)  6 Ga 2.42-2.52
Pt (0.0000, 0.0000, 0.5000)  6 Ga 2.42-2.52
Rh (0.5375, 0.4625, 0.2500)  5 Ga 2.38-2.48
Rh (0.4625, 0.5375, 0.7500)  5 Ga 2.38-2.48

Output
The formation energy from the elements is -0.302 eV per atom. Its density of states at the Fermi level is 0.34 states/eV per atom. The volume comes out at 23.28 A^3/atom.

=====

Crystalline Ga4PtRh at its relaxed geometry. Source: the Alexandria database, functional PBE.

abc: 5.9748 5.9754 7.2674
angles: 114.05 114.04 90.66
Closest atoms and distances in Å follow each position.
Positions (direct):
Ga (0.2560, 0.9982, 0.4968)  2 Rh 2.55, 2 Pt 2.60-2.61
Ga (0.0018, 0.7446, 0.0031)  2 Rh 2.55, 2 Pt 2.61
Ga (0.2593, 0.5019, 0.5031)  2 Rh 2.55-2.56, 2 Pt 2.60
Ga (0.4981, 0.7413, 0.9969)  2 Rh 2.55-2.56, 2 Pt 2.61
Ga (0.7440, 0.0018, 0.5032)  2 Rh 2.55, 2 Pt 2.60-2.61
Ga (0.7407, 0.4981, 0.4969)  2 Rh 2.55-2.56, 2 Pt 2.60
Ga (0.9982, 0.2554, 0.9969)  2 Rh 2.55, 2 Pt 2.61
Ga (0.5019, 0.2587, 0.0031)  2 Rh 2.55-2.56, 2 Pt 2.61
Pt (0.8753, 0.1251, 0.2504)  8 Ga 2.60-2.61
Pt (0.1247, 0.8749, 0.7496)  8 Ga 2.60-2.61
Rh (0.3749, 0.6247, 0.2496)  8 Ga 2.55-2.56
Rh (0.6251, 0.3753, 0.7504)  8 Ga 2.55-2.56

Output
The formation energy from the elements is -0.523 eV per atom. Its density of states at the Fermi level is 0.57 states/eV per atom. The volume comes out at 17.62 A^3/atom.

=====

Crystalline GaPtRh3 at its relaxed geometry. Source: the Alexandria database, functional PBE.

abc: 4.7980 4.7980 4.7980
angles: 90.00 90.00 90.00
Closest atoms and distances in Å follow each position.
Positions (direct):
Rh (0.0000, 0.5000, 0.0000)  2 Pt 2.40
Rh (0.0000, 0.0000, 0.5000)  2 Pt 2.40
Rh (0.5000, 0.0000, 0.0000)  2 Pt 2.40
Ga (0.5000, 0.5000, 0.5000)  12 Rh 3.39
Pt (0.0000, 0.0000, 0.0000)  6 Rh 2.40

Output
The formation energy from the elements is 1.258 eV per atom. Its density of states at the Fermi level is 1.35 states/eV per atom. The volume comes out at 22.09 A^3/atom.

=====

Crystalline GaPtRh3 at its relaxed geometry. Source: the Alexandria database, functional PBE.

abc: 4.4827 4.4827 4.4827
angles: 90.00 90.00 90.00
Closest atoms and distances in Å follow each position.
Positions (direct):
Rh (0.0000, 0.5000, 0.0000)  2 Ga 2.24
Rh (0.0000, 0.0000, 0.5000)  2 Ga 2.24
Rh (0.5000, 0.0000, 0.0000)  2 Ga 2.24
Ga (0.0000, 0.0000, 0.0000)  6 Rh 2.24
Pt (0.5000, 0.5000, 0.5000)  12 Rh 3.17

Output
The formation energy from the elements is 0.904 eV per atom. Its density of states at the Fermi level is 1.56 states/eV per atom. The volume comes out at 18.02 A^3/atom.

=====

Crystalline GaPtRh6 at its relaxed geometry. Source: the Alexandria database, functional PBE.

abc: 3.8750 4.7183 7.2050
angles: 77.82 74.40 65.76
Closest atoms and distances in Å follow each position.
Positions (direct):
Ga (0.0000, 0.0000, 0.0000)  12 Rh 2.67-2.73
Pt (0.0000, 0.5000, 0.5000)  12 Rh 2.73-2.75
Rh (0.2461, 0.8767, 0.6310)  1 Ga 2.67, 8 Rh 2.70-2.78, 3 Pt 2.73-2.75
Rh (0.5003, 0.2479, 0.7515)  8 Rh 2.69-2.77, 2 Ga 2.73, 2 Pt 2.75
Rh (0.2509, 0.3762, 0.1220)  8 Rh 2.69-2.73, 3 Ga 2.72, 1 Pt 2.74
Rh (0.4997, 0.7521, 0.2485)  8 Rh 2.69-2.77, 2 Ga 2.73, 2 Pt 2.75
Rh (0.7539, 0.1233, 0.3690)  1 Ga 2.67, 8 Rh 2.70-2.78, 3 Pt 2.73-2.75
Rh (0.7491, 0.6238, 0.8780)  8 Rh 2.69-2.73, 3 Ga 2.72, 1 Pt 2.74

Output
The formation energy from the elements is -0.168 eV per atom. Its density of states at the Fermi level is 1.26 states/eV per atom. The volume comes out at 14.37 A^3/atom.

=====

Crystalline Ga4PtRh at its relaxed geometry. Source: the Alexandria database, functional PBE.

abc: 4.2116 4.2119 5.9496
angles: 89.99 89.99 90.01
Closest atoms and distances in Å follow each position.
Positions (direct):
Ga (0.5013, 0.9973, 0.2550)  2 Rh 2.55, 2 Pt 2.60
Ga (0.5013, 0.9972, 0.7412)  2 Rh 2.55, 2 Pt 2.60
Ga (0.0013, 0.4972, 0.7412)  2 Rh 2.55, 2 Pt 2.60
Ga (0.0013, 0.4974, 0.2551)  2 Rh 2.55, 2 Pt 2.60
Pt (0.5013, 0.4973, 0.9981)  8 Ga 2.60
Rh (0.0013, 0.9973, 0.4981)  8 Ga 2.55

Output
The formation energy from the elements is -0.518 eV per atom. Its density of states at the Fermi level is 0.51 states/eV per atom. The volume comes out at 17.59 A^3/atom.

=====

Crystalline GaPt6Rh at its relaxed geometry. Source: the Alexandria database, functional PBE.

abc: 6.8923 6.3074 4.7955
angles: 75.37 62.31 42.32
Closest atoms and distances in Å follow each position.
Positions (direct):
Ga (0.5000, 0.5000, 0.5000)  2 Rh 2.76, 10 Pt 2.77-2.87
Pt (0.6219, 0.6219, 0.8781)  8 Pt 2.76-2.90, 2 Ga 2.77, 2 Rh 2.77
Pt (0.8781, 0.8781, 0.6219)  8 Pt 2.76-2.90, 2 Rh 2.77, 2 Ga 2.77
Pt (0.2470, 0.2470, 0.7530)  10 Pt 2.76-2.82, 1 Rh 2.80, 1 Ga 2.87
Pt (0.1219, 0.1219, 0.3781)  8 Pt 2.76-2.90, 2 Rh 2.77, 2 Ga 2.77
Pt (0.3781, 0.3781, 0.1219)  8 Pt 2.76-2.90, 2 Ga 2.77, 2 Rh 2.77
Pt (0.7530, 0.7530, 0.2470)  10 Pt 2.76-2.82, 1 Rh 2.80, 1 Ga 2.87
Rh (0.0000, 0.0000, 0.0000)  2 Ga 2.76, 10 Pt 2.77-2.80

Output
The formation energy from the elements is -0.206 eV per atom. Its density of states at the Fermi level is 1.27 states/eV per atom. The volume comes out at 15.35 A^3/atom.

=====

Crystalline GaPtRh3 at its relaxed geometry. Source: the Alexandria database, functional PBE.

abc: 4.6896 4.7350 7.2615
angles: 84.18 71.24 71.95
Closest atoms and distances in Å follow each position.
Positions (direct):
Ga (0.3538, 0.3443, 0.0106)  9 Rh 2.70-2.76, 3 Pt 2.77-2.78
Ga (0.0572, 0.8446, 0.6040)  9 Rh 2.70-2.76, 3 Pt 2.77-2.78
Pt (0.8547, 0.8447, 0.0082)  9 Rh 2.70-2.76, 3 Ga 2.77-2.78
Pt (0.5563, 0.3441, 0.6064)  9 Rh 2.70-2.76, 3 Ga 2.77-2.78
Rh (0.1531, 0.3441, 0.4116)  2 Pt 2.70, 3 Ga 2.71-2.76, 7 Rh 2.73-2.77
Rh (0.9548, 0.3448, 0.8093)  4 Rh 2.72-2.77, 4 Ga 2.72-2.76, 4 Pt 2.73
Rh (0.6545, 0.8443, 0.4098)  2 Ga 2.70, 7 Rh 2.72-2.77, 3 Pt 2.73-2.76
Rh (0.7568, 0.3444, 0.2047)  2 Ga 2.70, 7 Rh 2.72-2.77, 3 Pt 2.73-2.76
Rh (0.2582, 0.8446, 0.2030)  2 Pt 2.70, 3 Ga 2.71-2.76, 7 Rh 2.73-2.77
Rh (0.4561, 0.8441, 0.8053)  4 Ga 2.72-2.76, 4 Rh 2.72-2.77, 4 Pt 2.73

Output
The formation energy from the elements is -0.268 eV per atom. Its density of states at the Fermi level is 1.25 states/eV per atom. The volume comes out at 14.52 A^3/atom.

=====

no.,total magnetic moment (μB/f.u.),energy (eV/atom)
1,0.00,-6.021
2,0.00,-6.201
3,0.00,-4.377
4,0.00,-4.773
5,1.85,-4.966
6,2.34,-5.320
7,0.00,-6.815
8,0.00,-4.768
9,0.00,-6.034
10,0.00,-6.493